1.
K6SnI8 (GGA-PBE, optimized geometry); space group = No. 148; E_form (uncorrected) = -1257 meV/atom; electronic total energy = -41.84 eV per cell
1.0
5.279 3.048 7.030
-5.279 3.048 7.030
0.000 -6.095 7.030
K Sn I
6 1 8
Direct
0.025 0.804 0.440
0.196 0.560 0.975
0.440 0.025 0.804
0.560 0.975 0.196
0.804 0.440 0.025
0.975 0.196 0.560
0.500 0.500 0.500
0.161 0.161 0.161
0.169 0.400 0.667
0.333 0.831 0.600
0.400 0.667 0.169
0.600 0.333 0.831
0.667 0.169 0.400
0.831 0.600 0.333
0.839 0.839 0.839


2.
PaGe (GGA-PBE, optimized geometry); space group = No. 139; formation energy = -3.4 kJ per mole of atoms; electronic total energy = -28.37 eV per cell
1.0
-2.112 2.112 5.501
2.112 -2.112 5.501
2.112 2.112 -5.501
Pa Ge
2 2
Direct
0.134 0.134 0.000
0.866 0.866 0.000
0.388 0.388 0.000
0.612 0.612 0.000


3.
PrNdGeRu (GGA-PBE, optimized geometry); space group = No. 38; formation energy = -50.2 kJ per mole of atoms; electronic total energy = -25.52 eV per cell
1.0
3.964 0.000 0.000
0.000 2.209 5.623
0.000 -2.209 5.623
Pr Nd Ge Ru
1 1 1 1
Direct
0.000 0.000 0.000
0.500 0.720 0.720
0.500 0.417 0.417
0.000 0.272 0.272


4.
PrHoAlZn (GGA-PBE, optimized geometry); space group = No. 99; formation energy = -33.8 kJ per mole of atoms; offset from the most stable computed form = 0 meV/atom; electronic total energy = -15.78 eV per cell
1.0
3.630 0.000 0.000
0.000 3.630 0.000
0.000 0.000 7.423
Pr Ho Al Zn
1 1 1 1
Direct
0.000 0.000 0.000
0.000 0.000 0.508
0.500 0.500 0.270
0.500 0.500 0.726


5.
CrCd2Ni (GGA-PBE, optimized geometry); space group = No. 166; formation energy = 40.3 kJ per mole of atoms; offset from the most stable computed form = 211 meV/atom; electronic total energy = -15.57 eV per cell
1.0
1.497 0.864 8.956
-1.497 0.864 8.956
0.000 -1.728 8.956
Cr Cd Ni
1 2 1
Direct
0.000 0.000 0.000
0.245 0.245 0.245
0.755 0.755 0.755
0.500 0.500 0.500


6.
CeSc2Tl (GGA-PBE, optimized geometry); space group = No. 216; formation energy = -2.2 kJ per mole of atoms; offset from the most stable computed form = 103 meV/atom; electronic total energy = -21.05 eV per cell
1.0
0.000 3.720 3.720
3.720 0.000 3.720
3.720 3.720 0.000
Ce Sc Tl
1 2 1
Direct
0.000 0.000 0.000
0.500 0.500 0.500
0.750 0.750 0.750
0.250 0.250 0.250


7.
Y4CdCu2 (GGA-PBE, optimized geometry); space group = No. 166; formation energy = -2.5 kJ per mole of atoms; electronic total energy = -35.14 eV per cell
1.0
2.449 1.414 8.931
-2.449 1.414 8.931
0.000 -2.827 8.931
Y Cd Cu
4 1 2
Direct
0.116 0.116 0.116
0.296 0.296 0.296
0.704 0.704 0.704
0.884 0.884 0.884
0.500 0.500 0.500
0.402 0.402 0.402
0.598 0.598 0.598


8.
Tc3WI (GGA-PBE, optimized geometry); space group = No. 221; E_form (uncorrected) = 1885 meV/atom; offset from the most stable computed form = 0 meV/atom; electronic total energy = -36.17 eV per cell
1.0
4.829 0.000 0.000
0.000 4.829 0.000
0.000 0.000 4.829
Tc W I
3 1 1
Direct
0.000 0.000 0.500
0.000 0.500 0.000
0.500 0.000 0.000
0.000 0.000 0.000
0.500 0.500 0.500


9.
Be2AsPtO (GGA-PBE, optimized geometry); space group = No. 123; E_form (uncorrected) = -312 meV/atom; electronic total energy = -24.66 eV per cell
1.0
3.447 0.000 0.000
0.000 3.447 0.000
0.000 0.000 5.889
Be As Pt O
2 1 1 1
Direct
0.000 0.500 0.000
0.500 0.000 0.000
0.000 0.000 0.500
0.500 0.500 0.500
0.500 0.500 0.000